No. 1
Density functional theory data (PBE-GGA) for a relaxed CdSe2Br crystal.

Cell and atoms, written as CIF:
```
data_CdSe2Br
_symmetry_space_group_name_H-M 'I -4 m 2'
_symmetry_Int_Tables_number 119
_symmetry_space_group_name_Hall 'I -4 -2'
_cell_length_a 3.868
_cell_length_b 3.868
_cell_length_c 16.546
_cell_angle_alpha 90.00
_cell_angle_beta 90.00
_cell_angle_gamma 90.00
loop_
_atom_site_label
_atom_site_fract_x
_atom_site_fract_y
_atom_site_fract_z
_atom_site_occupancy
Cd1 0.000 0.000 0.000 1
Se1 0.000 0.000 0.500 1
Se2 0.000 0.500 0.750 1
Br1 0.000 0.500 0.250 1
```

---

No. 2
Density functional theory data (PBE-GGA) for a relaxed ZnPbI3 crystal.

Cell and atoms, written as CIF:
```
data_ZnPbI3
_symmetry_space_group_name_H-M 'P m -3 m'
_symmetry_Int_Tables_number 221
_symmetry_space_group_name_Hall '-P 4 2 3'
_cell_length_a 6.233
_cell_length_b 6.233
_cell_length_c 6.233
_cell_angle_alpha 90.00
_cell_angle_beta 90.00
_cell_angle_gamma 90.00
loop_
_atom_site_label
_atom_site_fract_x
_atom_site_fract_y
_atom_site_fract_z
_atom_site_occupancy
Zn1 0.000 0.000 0.000 1
Pb1 0.500 0.500 0.500 1
I1 0.000 0.500 0.500 1
```

---

In the order shown, the computed E above lowest polymorph values come out to 376, 132 meV per atom.
In the order shown, the computed ΔE_f (raw) values come out to 0.08, -0.03 eV per atom.